1.
## AlZn8 (PBE)

Data for a geometry-optimized AlZn8 structure.

For the energy of formation, the calculation gives 0.032 eV/atom. Its spin magnetization is 0.000 μB per atom. As for the energy above the lowest structure with this stoichiometry: 8 meV/atom. As for the theoretical density: 6.47 g/cm³.

Structure (CIF):
```
data_AlZn8
_chemical_formula_sum 'Al2 Zn16'
_cell_length_a 10.414
_cell_length_b 10.414
_cell_length_c 2.606
_cell_angle_alpha 90.00
_cell_angle_beta 90.00
_cell_angle_gamma 90.00
_space_group_name_H-M_alt 'I 4/m m m'
_space_group_IT_number 139
_space_group_name_Hall '-I 4 2'
loop_
_atom_site_label
_atom_site_type_symbol
_atom_site_fract_x
_atom_site_fract_y
_atom_site_fract_z
Al1 Al 0.000 0.000 0.000
Zn1 Zn 0.000 0.333 0.000
Zn2 Zn 0.168 0.168 0.500
```

2.
## Pa2NbPt (PBE)

Data for a geometry-optimized Pa2NbPt structure.

For the energy of formation, the calculation gives -0.231 eV/atom. Its spin magnetization is 0.000 μB per atom. As for the energy above the lowest structure with this stoichiometry: 6 meV/atom. As for the theoretical density: 14.21 g/cm³.

Structure (CIF):
```
data_Pa2NbPt
_chemical_formula_sum 'Pa2 Nb1 Pt1'
_cell_length_a 4.917
_cell_length_b 4.917
_cell_length_c 3.627
_cell_angle_alpha 90.00
_cell_angle_beta 90.00
_cell_angle_gamma 90.00
_space_group_name_H-M_alt 'P 4/m m m'
_space_group_IT_number 123
_space_group_name_Hall '-P 4 2'
loop_
_atom_site_label
_atom_site_type_symbol
_atom_site_fract_x
_atom_site_fract_y
_atom_site_fract_z
Pa1 Pa 0.000 0.500 0.000
Nb1 Nb 0.000 0.000 0.500
Pt1 Pt 0.500 0.500 0.500
```

3.
## ZrAgAs2 (PBE)

Data for a geometry-optimized ZrAgAs2 structure.

For the energy of formation, the calculation gives -0.341 eV/atom. Its spin magnetization is 0.000 μB per atom. As for the theoretical density: 7.40 g/cm³.

Structure (CIF):
```
data_ZrAgAs2
_chemical_formula_sum 'Zr1 Ag1 As2'
_cell_length_a 3.547
_cell_length_b 3.609
_cell_length_c 6.119
_cell_angle_alpha 90.00
_cell_angle_beta 90.00
_cell_angle_gamma 90.00
_space_group_name_H-M_alt 'P m m m'
_space_group_IT_number 47
_space_group_name_Hall '-P 2 2'
loop_
_atom_site_label
_atom_site_type_symbol
_atom_site_fract_x
_atom_site_fract_y
_atom_site_fract_z
Zr1 Zr 0.000 0.000 0.000
Ag1 Ag 0.000 0.000 0.500
As1 As 0.500 0.500 0.223
```